Entry 1:
KTl2Re | PBE-GGA | relaxed

The structure in POSCAR format:
```
KTl2Re
1.0
-2.202 2.202 5.204
2.202 -2.202 5.204
2.202 2.202 -5.204
K Tl Re
1 2 1
Direct
0.000 0.000 0.000
0.500 0.500 0.000
0.750 0.250 0.500
0.250 0.750 0.500
```

As for the space group: I-4m2, No. 119. The value obtained for the total energy is -3.37 eV per atom.

=====

Entry 2:
KTlRe2 | PBE-GGA | relaxed

The structure in POSCAR format:
```
KTlRe2
1.0
1.592 -2.421 0.000
1.592 2.421 0.000
0.000 0.000 10.674
K Tl Re
1 1 2
Direct
0.000 0.000 0.000
0.500 0.500 0.292
0.000 0.000 0.538
0.500 0.500 0.725
```

As for the space group: Cmm2, No. 35. The value obtained for the total energy is -6.19 eV per atom.

=====

Entry 3:
KTlRe2 | PBE-GGA | relaxed

The structure in POSCAR format:
```
KTlRe2
1.0
0.000 3.444 3.444
3.444 0.000 3.444
3.444 3.444 0.000
K Tl Re
1 1 2
Direct
0.000 0.000 0.000
0.500 0.500 0.500
0.250 0.250 0.250
0.750 0.750 0.750
```

As for the space group: Fm-3m, No. 225. The value obtained for the total energy is -4.91 eV per atom.

=====

Entry 4:
KTl2Re | PBE-GGA | relaxed

The structure in POSCAR format:
```
KTl2Re
1.0
3.002 0.000 0.000
0.000 4.007 0.000
0.000 0.000 8.502
K Tl Re
1 2 1
Direct
0.000 0.000 0.000
0.500 0.500 0.302
0.500 0.500 0.698
0.000 0.000 0.500
```

As for the space group: Pmmm, No. 47. The value obtained for the total energy is -3.82 eV per atom.

=====

Entry 5:
KTlRe2 | PBE-GGA | relaxed

The structure in POSCAR format:
```
KTlRe2
1.0
-1.970 1.970 5.306
1.970 -1.970 5.306
1.970 1.970 -5.306
K Tl Re
1 1 2
Direct
0.000 0.000 0.000
0.500 0.500 0.000
0.250 0.750 0.500
0.750 0.250 0.500
```

As for the space group: I4/mmm, No. 139. The value obtained for the total energy is -5.39 eV per atom.

=====

Entry 6:
KTlRe2 | PBE-GGA | relaxed

The structure in POSCAR format:
```
KTlRe2
1.0
-1.438 2.505 5.596
1.438 -2.505 5.596
1.438 2.505 -5.596
K Tl Re
1 1 2
Direct
0.000 0.000 0.000
0.500 0.500 0.000
0.277 0.777 0.500
0.723 0.223 0.500
```

As for the space group: Immm, No. 71. The value obtained for the total energy is -5.69 eV per atom.

=====

Entry 7:
KTl2Re | PBE-GGA | relaxed

The structure in POSCAR format:
```
KTl2Re
1.0
3.047 0.000 0.000
0.000 3.047 0.000
0.000 0.000 10.862
K Tl Re
1 2 1
Direct
0.000 0.000 0.000
0.000 0.000 0.445
0.500 0.500 0.709
0.500 0.500 0.246
```

As for the space group: P4mm, No. 99. The value obtained for the total energy is -3.59 eV per atom.

=====

Entry 8:
KTl2Re | PBE-GGA | relaxed

The structure in POSCAR format:
```
KTl2Re
1.0
-3.217 3.217 8.285
3.217 -3.217 8.285
3.217 3.217 -8.285
K Tl Re
2 4 2
Direct
0.000 0.000 0.000
0.750 0.250 0.500
0.325 0.625 0.200
0.375 0.575 0.700
0.425 0.125 0.800
0.875 0.675 0.300
0.250 0.750 0.500
0.500 0.500 0.000
```

As for the space group: I-42d, No. 122. The value obtained for the total energy is -3.57 eV per atom.

=====

Entry 9:
K2TlRe | PBE-GGA | relaxed

The structure in POSCAR format:
```
K2TlRe
1.0
2.072 -2.272 0.000
2.072 2.272 0.000
0.000 0.000 11.945
K Tl Re
2 1 1
Direct
0.000 0.000 0.000
0.500 0.500 0.356
0.500 0.500 0.763
0.000 0.000 0.582
```

As for the space group: Cmm2, No. 35. The value obtained for the total energy is -3.20 eV per atom.

=====

Entry 10:
K2TlRe | PBE-GGA | relaxed

The structure in POSCAR format:
```
K2TlRe
1.0
0.000 4.062 4.062
4.062 0.000 4.062
4.062 4.062 0.000
K Tl Re
2 1 1
Direct
0.250 0.250 0.250
0.750 0.750 0.750
0.000 0.000 0.000
0.500 0.500 0.500
```

As for the space group: Fm-3m, No. 225. The value obtained for the total energy is -2.83 eV per atom.

=====

Entry 11:
KTlRe2 | PBE-GGA | relaxed

The structure in POSCAR format:
```
KTlRe2
1.0
-2.133 2.133 10.508
2.133 -2.133 10.508
2.133 2.133 -10.508
K Tl Re
2 2 4
Direct
0.000 0.000 0.000
0.750 0.250 0.500
0.250 0.750 0.500
0.500 0.500 0.000
0.228 0.125 0.603
0.375 0.772 0.897
0.522 0.625 0.397
0.875 0.478 0.103
```

As for the space group: I-42d, No. 122. The value obtained for the total energy is -5.58 eV per atom.

=====

Entry 12:
K2TlRe | PBE-GGA | relaxed

The structure in POSCAR format:
```
K2TlRe
1.0
3.150 0.000 0.000
0.000 5.134 0.000
0.000 0.000 6.048
K Tl Re
2 1 1
Direct
0.000 0.000 0.000
0.500 0.500 0.000
0.000 0.500 0.500
0.500 0.000 0.500
```

As for the space group: Pmmm, No. 47. The value obtained for the total energy is -3.05 eV per atom.

=====

Quick rundown of E_form, same order as above: 463.2 346.0 841.7 289.9 656.0 539.1 378.5 385.3 405.9 547.3 583.7 465.5 kJ/mol of formula units
Quick rundown of polymorph energy (0 for the lowest one), same order as above: 0.526 0.290 1.574 0.077 1.093 0.790 0.306 0.324 0.126 0.492 0.906 0.280 eV/atom
Quick rundown of spin magnetization, same order as above: 1.8 0.0 4.1 1.2 0.0 0.0 0.5 1.2 0.0 2.9 0.5 0.0 μB per formula unit